An optimized crystal structure of Nd5Sb. Source: Alexandria via LeMat-Bulk, functional PBE.

Output
- formation energy from raw total energies (eV/atom) = -0.324
- spin magnetization (μB/cell) = 0.00

The structure in extended XYZ format:
```
12
Lattice="4.9381 0.0000 0.0000 0.0000 15.6386 0.0000 0.0000 0.0000 4.9679" Properties=species:S:1:pos:R:3 pbc="T T T"
Nd 0.0000 0.0000 0.0000
Nd 0.0000 2.4618 2.4839
Nd 0.0000 5.3042 0.0000
Nd 0.0000 10.3344 0.0000
Nd 0.0000 13.1768 2.4839
Nd 2.4690 2.5151 0.0000
Nd 2.4690 5.3575 2.4839
Nd 2.4690 7.8193 0.0000
Nd 2.4690 10.2811 2.4839
Nd 2.4690 13.1235 0.0000
Sb 0.0000 7.8193 2.4839
Sb 2.4690 0.0000 2.4839
```